# 1
KTaOs2, relaxed, DFT PBE-GGA; offset from the most stable computed form = 740 meV per atom; energy = -30.001 eV/f.u.; DOS(E_F) = 0.9552 states/eV/atom; total magnetic moment = 0.00 Bohr magnetons per cell; DFT formation energy = 5.41 eV per formula unit
1.0
-2.255 -3.851 1.068
2.308 -3.665 1.515
-0.376 -1.297 4.385
Os K Ta
2 1 1
Direct
0.000 0.000 0.000 Os
0.250 0.250 0.250 Os
0.500 0.500 0.500 K
0.750 0.750 0.750 Ta

---

# 2
KTaOs, relaxed, DFT PBE-GGA; offset from the most stable computed form = 2441 meV per atom; energy = -14.894 eV/f.u.; DOS(E_F) = 0.9303 states/eV/atom; total magnetic moment = 0.00 Bohr magnetons per cell; DFT formation energy = 9.29 eV per formula unit
1.0
4.483 0.000 0.000
2.242 3.883 0.000
2.242 1.294 3.661
K Os Ta
1 1 1
Direct
0.750 0.750 0.750 K
0.000 0.000 0.000 Os
0.500 0.500 0.500 Ta

---

# 3
KTaOs2, relaxed, DFT PBE-GGA; offset from the most stable computed form = 43 meV per atom; energy = -32.791 eV/f.u.; DOS(E_F) = 0.8055 states/eV/atom; total magnetic moment = 0.00 Bohr magnetons per cell; DFT formation energy = 2.62 eV per formula unit
1.0
10.029 0.043 0.025
9.568 3.007 0.025
9.568 1.489 2.613
Os K Ta
2 1 1
Direct
0.984 0.984 0.984 Os
0.516 0.516 0.516 Os
0.750 0.750 0.750 K
0.250 0.250 0.250 Ta

---

# 4
KTa3Os, relaxed, DFT PBE-GGA; offset from the most stable computed form = 0 meV per atom; energy = -41.340 eV/f.u.; DOS(E_F) = 2.0736 states/eV/atom; total magnetic moment = 0.00 Bohr magnetons per cell; DFT formation energy = 6.54 eV per formula unit
1.0
4.989 0.000 0.000
0.000 4.989 0.000
0.000 0.000 4.989
K Ta Os
1 3 1
Direct
0.500 0.500 0.500 K
0.000 0.000 0.500 Ta
0.000 0.500 0.000 Ta
0.500 0.000 0.000 Ta
0.000 0.000 0.000 Os

---

# 5
KTaOs2, relaxed, DFT PBE-GGA; offset from the most stable computed form = 634 meV per atom; energy = -30.424 eV/f.u.; DOS(E_F) = 1.1723 states/eV/atom; total magnetic moment = 0.00 Bohr magnetons per cell; DFT formation energy = 4.99 eV per formula unit
1.0
-0.592 3.160 -4.379
-4.519 0.385 2.990
1.024 1.998 1.298
Os Ta K
2 1 1
Direct
0.000 0.000 0.000 Os
0.500 0.500 0.000 Os
0.500 0.000 0.500 Ta
0.000 0.500 0.500 K

---

# 6
KTaOs2, relaxed, DFT PBE-GGA; offset from the most stable computed form = 397 meV per atom; energy = -31.373 eV/f.u.; DOS(E_F) = 1.3180 states/eV/atom; total magnetic moment = 0.00 Bohr magnetons per cell; DFT formation energy = 4.04 eV per formula unit
1.0
6.245 0.016 -0.001
3.421 5.224 0.001
-4.005 -4.147 2.399
Os Ta K
2 1 1
Direct
0.042 0.042 0.000 Os
0.242 0.742 0.500 Os
0.459 0.459 0.000 Ta
0.758 0.258 0.500 K

---

# 7
KTaOs2, relaxed, DFT PBE-GGA; offset from the most stable computed form = 94 meV per atom; energy = -32.586 eV/f.u.; DOS(E_F) = 0.7242 states/eV/atom; total magnetic moment = 0.00 Bohr magnetons per cell; DFT formation energy = 2.82 eV per formula unit
1.0
-1.562 -2.329 0.225
2.334 -1.570 -0.049
0.590 0.565 9.961
Ta Os K
1 2 1
Direct
0.000 0.000 0.435 Ta
0.500 0.500 0.229 Os
0.000 0.000 0.059 Os
0.500 0.500 0.777 K

---

# 8
KTaOs2, relaxed, DFT PBE-GGA; offset from the most stable computed form = 759 meV per atom; energy = -29.925 eV/f.u.; DOS(E_F) = 1.1374 states/eV/atom; total magnetic moment = 0.80 Bohr magnetons per cell; DFT formation energy = 5.48 eV per formula unit
1.0
3.083 0.000 0.000
0.000 4.801 0.000
0.000 0.000 4.801
K Os Ta
1 2 1
Direct
0.500 0.000 0.500 K
0.000 0.000 0.000 Os
0.000 0.500 0.500 Os
0.500 0.500 0.000 Ta

---

# 9
KTaOs2, relaxed, DFT PBE-GGA; offset from the most stable computed form = 852 meV per atom; energy = -29.553 eV/f.u.; DOS(E_F) = 0.5785 states/eV/atom; total magnetic moment = 0.00 Bohr magnetons per cell; DFT formation energy = 5.86 eV per formula unit
1.0
-4.068 -3.182 5.561
5.921 0.649 4.703
0.006 1.313 5.934
Os Ta K
4 2 2
Direct
0.375 0.326 0.750 Os
0.674 0.125 0.250 Os
0.076 0.625 0.250 Os
0.875 0.924 0.750 Os
0.000 0.000 0.000 Ta
0.750 0.250 0.500 Ta
0.250 0.750 0.500 K
0.500 0.500 0.000 K

---

# 10
KTaOs2, relaxed, DFT PBE-GGA; offset from the most stable computed form = 0 meV per atom; energy = -32.962 eV/f.u.; DOS(E_F) = 0.8501 states/eV/atom; total magnetic moment = 0.00 Bohr magnetons per cell; DFT formation energy = 2.45 eV per formula unit
1.0
-2.816 0.010 0.429
0.882 -2.184 -1.603
1.230 -5.521 8.198
K Os Ta
1 2 1
Direct
0.500 0.500 0.750 K
0.000 0.000 0.460 Os
0.000 0.000 0.040 Os
0.500 0.500 0.250 Ta

---

# 11
KTaOs, relaxed, DFT PBE-GGA; offset from the most stable computed form = 177 meV per atom; energy = -21.687 eV/f.u.; DOS(E_F) = 1.0700 states/eV/atom; total magnetic moment = 0.00 Bohr magnetons per cell; DFT formation energy = 2.49 eV per formula unit
1.0
-4.896 3.950 -5.746
-6.636 1.884 -4.647
-0.441 2.642 1.154
Ta Os K
1 1 1
Direct
0.694 0.694 0.306 Ta
0.316 0.316 0.684 Os
0.990 0.990 0.010 K

---

# 12
KTaOs2, relaxed, DFT PBE-GGA; offset from the most stable computed form = 595 meV per atom; energy = -30.580 eV/f.u.; DOS(E_F) = 0.8059 states/eV/atom; total magnetic moment = 0.00 Bohr magnetons per cell; DFT formation energy = 4.83 eV per formula unit
1.0
0.000 3.272 3.272
3.272 0.000 3.272
3.272 3.272 0.000
Ta Os K
1 2 1
Direct
0.500 0.500 0.500 Ta
0.750 0.750 0.750 Os
0.250 0.250 0.250 Os
0.000 0.000 0.000 K

---

# 13
K4TaOs, relaxed, DFT PBE-GGA; energy = -15.655 eV/f.u.; DOS(E_F) = 1.0326 states/eV/atom; total magnetic moment = 2.44 Bohr magnetons per cell; DFT formation energy = 11.82 eV per formula unit
1.0
0.000 4.531 4.531
4.531 0.000 4.531
4.531 4.531 0.000
K Ta Os
4 1 1
Direct
0.871 0.376 0.376 K
0.376 0.376 0.376 K
0.376 0.376 0.871 K
0.376 0.871 0.376 K
0.000 0.000 0.000 Ta
0.750 0.750 0.750 Os

---

# 14
KTaOs, relaxed, DFT PBE-GGA; offset from the most stable computed form = 855 meV per atom; energy = -19.653 eV/f.u.; DOS(E_F) = 0.3802 states/eV/atom; total magnetic moment = 0.00 Bohr magnetons per cell; DFT formation energy = 4.53 eV per formula unit
1.0
-1.882 3.425 2.366
-4.526 0.616 -0.081
-2.494 -0.894 3.721
Os Ta K
1 1 1
Direct
0.750 0.750 0.750 Os
0.000 0.000 0.000 Ta
0.500 0.500 0.500 K

---

# 15
K3TaOs, relaxed, DFT PBE-GGA; offset from the most stable computed form = 0 meV per atom; energy = -14.105 eV/f.u.; DOS(E_F) = 3.9219 states/eV/atom; total magnetic moment = 3.46 Bohr magnetons per cell; DFT formation energy = 12.27 eV per formula unit
1.0
6.111 0.000 0.000
0.000 6.111 0.000
0.000 0.000 6.111
K Os Ta
3 1 1
Direct
0.000 0.000 0.500 K
0.500 0.000 0.000 K
0.000 0.500 0.000 K
0.000 0.000 0.000 Os
0.500 0.500 0.500 Ta

---

# 16
KTa4Os, relaxed, DFT PBE-GGA; energy = -53.115 eV/f.u.; DOS(E_F) = 1.3070 states/eV/atom; total magnetic moment = 0.00 Bohr magnetons per cell; DFT formation energy = 6.62 eV per formula unit
1.0
0.000 3.904 3.904
3.904 0.000 3.904
3.904 3.904 0.000
Ta Os K
4 1 1
Direct
0.374 0.877 0.374 Ta
0.374 0.374 0.374 Ta
0.374 0.374 0.877 Ta
0.877 0.374 0.374 Ta
0.000 0.000 0.000 Os
0.750 0.750 0.750 K

---

# 17
KTaOs, relaxed, DFT PBE-GGA; offset from the most stable computed form = 148 meV per atom; energy = -21.774 eV/f.u.; DOS(E_F) = 0.8664 states/eV/atom; total magnetic moment = 0.00 Bohr magnetons per cell; DFT formation energy = 2.41 eV per formula unit
1.0
3.433 0.000 0.000
-1.716 2.973 0.000
0.000 0.000 7.815
Ta K Os
1 1 1
Direct
0.667 0.333 0.582 Ta
0.000 0.000 0.023 K
0.333 0.667 0.395 Os

---

# 18
KTaOs2, relaxed, DFT PBE-GGA; offset from the most stable computed form = 97 meV per atom; energy = -32.572 eV/f.u.; DOS(E_F) = 1.1011 states/eV/atom; total magnetic moment = 0.00 Bohr magnetons per cell; DFT formation energy = 2.84 eV per formula unit
1.0
-1.172 -1.341 -2.134
-2.663 -1.469 2.385
-5.033 6.739 -1.471
K Ta Os
1 1 2
Direct
0.500 0.500 0.776 K
0.000 0.000 0.403 Ta
0.500 0.500 0.219 Os
0.000 0.000 0.102 Os

---

# 19
KTaOs2, relaxed, DFT PBE-GGA; offset from the most stable computed form = 180 meV per atom; energy = -32.241 eV/f.u.; DOS(E_F) = 1.3685 states/eV/atom; total magnetic moment = 0.00 Bohr magnetons per cell; DFT formation energy = 3.17 eV per formula unit
1.0
-6.389 2.921 -8.278
-5.907 0.254 -9.106
-8.007 0.816 -7.287
K Ta Os
1 1 2
Direct
0.745 0.745 0.745 K
0.514 0.514 0.514 Ta
0.255 0.255 0.255 Os
0.986 0.986 0.986 Os

---

# 20
KTaOs2, relaxed, DFT PBE-GGA; offset from the most stable computed form = 325 meV per atom; energy = -31.662 eV/f.u.; DOS(E_F) = 1.5902 states/eV/atom; total magnetic moment = 0.29 Bohr magnetons per cell; DFT formation energy = 3.75 eV per formula unit
1.0
2.797 -0.001 0.000
-1.252 2.502 0.000
0.000 0.000 10.673
Ta Os K
1 2 1
Direct
0.000 0.000 0.455 Ta
0.000 0.000 0.036 Os
0.500 0.500 0.245 Os
0.500 0.500 0.765 K

---

# 21
KTaOs, relaxed, DFT PBE-GGA; offset from the most stable computed form = 0 meV per atom; energy = -22.218 eV/f.u.; DOS(E_F) = 1.1991 states/eV/atom; total magnetic moment = 0.00 Bohr magnetons per cell; DFT formation energy = 1.96 eV per formula unit
1.0
-1.677 6.982 2.672
-5.068 5.744 -0.109
2.271 -7.301 0.479
Ta Os K
1 1 1
Direct
0.717 0.717 0.000 Ta
0.299 0.299 0.000 Os
0.983 0.983 0.000 K

---

# 22
KTaOs4, relaxed, DFT PBE-GGA; energy = -53.228 eV/f.u.; DOS(E_F) = 1.0863 states/eV/atom; total magnetic moment = 0.00 Bohr magnetons per cell; DFT formation energy = 4.64 eV per formula unit
1.0
2.006 -4.823 0.676
-0.916 -2.630 4.471
-3.178 -4.200 -0.019
K Os Ta
1 4 1
Direct
0.000 0.000 0.000 K
0.375 0.874 0.375 Os
0.874 0.375 0.375 Os
0.375 0.375 0.375 Os
0.375 0.375 0.874 Os
0.750 0.750 0.750 Ta

---

# 23
KTaOs, relaxed, DFT PBE-GGA; offset from the most stable computed form = 707 meV per atom; energy = -20.098 eV/f.u.; DOS(E_F) = 0.3989 states/eV/atom; total magnetic moment = 0.00 Bohr magnetons per cell; DFT formation energy = 4.08 eV per formula unit
1.0
4.923 0.000 0.000
-2.462 4.264 0.000
0.000 0.000 2.726
Os Ta K
1 1 1
Direct
0.333 0.667 0.371 Os
0.667 0.333 0.634 Ta
0.000 0.000 0.995 K

---

# 24
KTaTe2Os, relaxed, DFT PBE-GGA; energy = -15.615 eV/f.u.; DOS(E_F) = 1.6571 states/eV/atom; formation energy (no corrections) = 2970 meV/atom; total magnetic moment = 3.43 Bohr magnetons per cell
1.0
-0.836 5.072 1.978
-3.121 -2.086 4.030
3.923 -0.447 2.806
Te Os Ta K
2 1 1 1
Direct
0.500 0.000 0.000 Te
0.000 0.500 0.000 Te
0.500 0.500 0.500 Os
0.000 0.000 0.500 Ta
0.000 0.000 0.000 K

---

# 25
KTc2Os, relaxed, DFT PBE-GGA; offset from the most stable computed form = 761 meV per atom; energy = -27.186 eV/f.u.; DOS(E_F) = 0.7240 states/eV/atom; total magnetic moment = 0.00 Bohr magnetons per cell; DFT formation energy = 5.87 eV per formula unit
1.0
-1.328 2.706 3.374
-0.835 -1.733 4.095
2.806 0.871 3.440
K Os Tc
1 1 2
Direct
0.500 0.500 0.500 K
0.750 0.750 0.750 Os
0.250 0.250 0.250 Tc
0.000 0.000 0.000 Tc

---

# 26
KTc2Os, relaxed, DFT PBE-GGA; offset from the most stable computed form = 209 meV per atom; energy = -29.394 eV/f.u.; DOS(E_F) = 0.8048 states/eV/atom; total magnetic moment = 0.00 Bohr magnetons per cell; DFT formation energy = 3.67 eV per formula unit
1.0
-2.444 -0.876 0.820
0.432 0.009 -2.688
3.708 -9.813 0.563
K Os Tc
1 1 2
Direct
0.500 0.500 0.250 K
0.500 0.500 0.750 Os
0.000 0.000 0.538 Tc
0.000 0.000 0.962 Tc

---

# 27
K2TcOs, relaxed, DFT PBE-GGA; offset from the most stable computed form = 0 meV per atom; energy = -20.804 eV/f.u.; DOS(E_F) = 0.8809 states/eV/atom; total magnetic moment = 0.00 Bohr magnetons per cell; DFT formation energy = 2.99 eV per formula unit
1.0
3.957 0.000 0.000
0.000 2.868 0.036
0.000 1.982 10.315
K Tc Os
2 1 1
Direct
0.500 0.191 0.339 K
0.000 0.056 0.913 K
0.500 0.809 0.663 Tc
0.000 0.444 0.584 Os

---

# 28
K2TcOs, relaxed, DFT PBE-GGA; offset from the most stable computed form = 590 meV per atom; energy = -18.443 eV/f.u.; DOS(E_F) = 0.6107 states/eV/atom; total magnetic moment = 0.00 Bohr magnetons per cell; DFT formation energy = 5.35 eV per formula unit
1.0
6.431 0.007 0.072
-4.160 4.904 0.072
0.341 0.736 2.562
Os K Tc
1 2 1
Direct
0.500 0.000 0.500 Os
0.000 0.000 0.000 K
0.500 0.500 0.000 K
0.000 0.500 0.500 Tc

---

# 29
K2TcOs, relaxed, DFT PBE-GGA; offset from the most stable computed form = 824 meV per atom; energy = -17.509 eV/f.u.; DOS(E_F) = 1.1350 states/eV/atom; total magnetic moment = 6.77 Bohr magnetons per cell; DFT formation energy = 6.28 eV per formula unit
1.0
-6.591 -5.324 9.132
10.563 -2.909 5.928
1.911 -2.099 8.652
Tc K Os
2 4 2
Direct
0.500 0.500 0.000 Tc
0.250 0.750 0.500 Tc
0.375 0.556 0.750 K
0.444 0.125 0.250 K
0.875 0.694 0.750 K
0.306 0.625 0.250 K
0.750 0.250 0.500 Os
0.000 0.000 0.000 Os

---

# 30
KTc2Os, relaxed, DFT PBE-GGA; offset from the most stable computed form = 116 meV per atom; energy = -29.767 eV/f.u.; DOS(E_F) = 1.3215 states/eV/atom; total magnetic moment = 0.00 Bohr magnetons per cell; DFT formation energy = 3.29 eV per formula unit
1.0
2.755 0.000 0.000
0.000 2.755 0.000
0.000 0.000 9.778
Tc K Os
2 1 1
Direct
0.000 0.000 0.940 Tc
0.000 0.000 0.560 Tc
0.500 0.500 0.250 K
0.500 0.500 0.750 Os